Entry 1:
First-principles (PBE-GGA) data for a relaxed structure of Y2TaGe, as listed in the Open Quantum Materials Database.

## Properties
Total energy: -28.5 eV/cell
Crystal system: cubic
Symmetry: F-43m
Volume: 87.9 Å³/f.u.

Structure (POSCAR):
```
Y2TaGe
1.0
0.000 3.529 3.529
3.529 0.000 3.529
3.529 3.529 0.000
Y Ta Ge
2 1 1
direct
0.000 0.000 0.000
0.250 0.250 0.250
0.750 0.750 0.750
0.500 0.500 0.500
```

---

Entry 2:
First-principles (PBE-GGA) data for a relaxed structure of TcBiNO, as listed in the Open Quantum Materials Database.

## Properties
Crystal system: tetragonal
Energy above the lowest structure with this stoichiometry: 61.4 meV/atom
Symmetry: P4/nmm
Volume: 59.5 Å³/f.u.

Structure (POSCAR):
```
TcBiNO
1.0
3.875 0.000 0.000
0.000 3.875 0.000
0.000 0.000 7.921
Tc Bi N O
2 2 2 2
direct
0.250 0.750 0.000
0.750 0.250 0.000
0.250 0.250 0.336
0.750 0.750 0.664
0.250 0.250 0.903
0.750 0.750 0.097
0.250 0.750 0.500
0.750 0.250 0.500
```

---

Number 1: M_tot 0.98 μB per cell. Number 2: M_tot 0.03 μB per cell.